The following is a PBE calculation of an optimized crystal structure of AcTmGe2O8, from the Alexandria database.

Lattice parameters (Å, degrees): 5.2056 5.2056 6.9298 112.06 112.06 90.00
Closest atoms and distances in Å follow each position.
Sites, in units of the cell vectors:
O (0.0780, 0.9579, 0.6697)  1 Ge 1.79
O (0.2883, 0.9220, 0.3303)  1 Ge 1.79
O (0.6837, 0.2677, 0.8558)  1 Ge 1.78
O (0.4119, 0.3163, 0.1442)  1 Ge 1.78
O (0.1721, 0.5881, 0.8558)  1 Ge 1.78
O (0.5916, 0.7117, 0.6697)  1 Ge 1.79
O (0.0421, 0.4084, 0.3303)  1 Ge 1.79
O (0.7323, 0.8279, 0.1442)  1 Ge 1.78
Ge (0.2500, 0.7500, 0.5000)  4 O 1.79
Ge (0.5000, 0.5000, 0.0000)  4 O 1.78
Ac (0.7500, 0.2500, 0.5000)  8 O 2.54-2.58
Tm (0.0000, 0.0000, 0.0000)  8 O 2.34-2.40

Results
- Space group: No. 82
- Formation energy from raw total energies: -2.211 eV/atom
- Total DFT energy (no corrections): -0.5146 Ry/atom
- Crystal system: tetragonal
- Calculated density: 6985 kg/m³